No. 1
DFT (PBE) results for a relaxed Be2NbCd crystal.

POSCAR file:
```
Be2NbCd
1.0
-5.275 1.856 3.444
-0.645 -6.115 2.308
-1.307 -1.481 5.057
Cd Be Nb
2 4 2
Direct
0.750 0.250 0.500
0.000 0.000 0.000
0.875 0.882 0.750
0.632 0.125 0.250
0.375 0.368 0.750
0.118 0.625 0.250
0.500 0.500 0.000
0.250 0.750 0.500
```

Values from the calculation:
V (Å³ per cell): 121.26
Electronic total energy (eV per atom): -3.98
Energy of formation (meV per atom): 626
SG: I-42d (122)

No. 2
DFT (PBE) results for a relaxed BeNbCd2 crystal.

POSCAR file:
```
BeNbCd2
1.0
-3.844 -3.451 5.312
-4.804 -2.463 -5.076
-2.850 -5.125 -0.224
Cd Nb Be
4 2 2
Direct
0.375 0.432 0.750
0.568 0.125 0.250
0.875 0.818 0.750
0.182 0.625 0.250
0.750 0.250 0.500
0.000 0.000 0.000
0.500 0.500 0.000
0.250 0.750 0.500
```

Values from the calculation:
V (Å³ per cell): 145.14
Electronic total energy (eV per atom): -3.31
Energy of formation (meV per atom): 596
SG: I-42d (122)

No. 3
DFT (PBE) results for a relaxed BeNb3Cd crystal.

POSCAR file:
```
BeNb3Cd
1.0
4.971 0.000 0.000
0.000 4.971 0.000
0.000 0.000 4.971
Nb Cd Be
3 1 1
Direct
0.000 0.000 0.500
0.000 0.500 0.000
0.500 0.000 0.000
0.000 0.000 0.000
0.500 0.500 0.500
```

Values from the calculation:
V (Å³ per cell): 122.82
Electronic total energy (eV per atom): -4.71
Energy of formation (meV per atom): 2261
SG: Pm-3m (221)
Relative energy among the computed polymorphs (eV/atom): 1.796

No. 4
DFT (PBE) results for a relaxed BeNb2CdNi crystal.

POSCAR file:
```
BeNb2CdNi
1.0
-1.394 -0.674 -4.404
1.605 -3.722 0.061
-4.053 -1.723 1.547
Be Nb Ni Cd
1 2 1 1
Direct
0.000 0.500 0.000
0.500 0.000 0.000
0.000 0.000 0.500
0.000 0.000 0.000
0.500 0.500 0.500
```

Values from the calculation:
V (Å³ per cell): 88.34
Electronic total energy (eV per atom): -5.53
Energy of formation (meV per atom): 587
SG: P4/mmm (123)